Record 1
DFT (GGA-PBE) results for crystalline Pm3PrHo6Tm2 at its relaxed geometry.

Cell: 6.175 6.175 11.796 Å, 94.99 94.99 119.97°
Fractional coordinates of all 12 atoms:
Ho 0.418 0.083 0.248
Ho 0.582 0.917 0.752
Ho 0.083 0.418 0.248
Ho 0.251 0.251 0.752
Ho 0.917 0.582 0.752
Ho 0.749 0.749 0.248
Tm 0.333 0.667 0.000
Tm 0.667 0.333 0.000
Pr 0.000 0.000 0.000
Pm 0.833 0.167 0.500
Pm 0.167 0.833 0.500
Pm 0.500 0.500 0.500

Output
* magnetic moment: 0.0 μB per cell
* density of states at the Fermi level: 1.26 states/eV/atom
* E_tot: -4.60 eV/atom



Record 2
DFT (GGA-PBE) results for crystalline Ba2TlCu at its relaxed geometry.

Cell: 5.955 4.074 5.959 Å, 90.00 90.00 90.00°
Fractional coordinates of all 4 atoms:
Ba 0.000 0.126 0.875
Ba 0.500 0.126 0.375
Cu 0.000 0.623 0.375
Tl 0.500 0.626 0.875

Output
* magnetic moment: 0.0 μB per cell
* density of states at the Fermi level: 0.75 states/eV/atom
* E_tot: -2.71 eV/atom



Record 3
DFT (GGA-PBE) results for crystalline Cr2NiAg at its relaxed geometry.

Cell: 3.738 3.738 3.964 Å, 90.00 90.00 90.00°
Each line ends with the local moment (μB).
Fractional coordinates of all 4 atoms:
Ag 0.000 0.500 0.500  0.00
Cr 0.000 0.000 0.000  -2.87
Cr 0.500 0.500 0.000  2.87
Ni 0.500 0.000 0.500  0.00

Output
* magnetic moment: 0.0 μB per cell
* density of states at the Fermi level: 1.41 states/eV/atom
* ΔE to the lowest computed polymorph: 13 meV per atom
* E_tot: -6.67 eV/atom